[1]
CeScFe4 PBE-GGA relaxed; SG = F-43m (216); formation energy = -0.129 eV/atom; electronic total energy = -46.89 eV per cell; magnetic moment = 6.52 μB/f.u.
1.0
5.0455 0.0000 0.0000
2.5228 4.3696 0.0000
2.5228 1.4565 4.1197
Fe Sc Ce
4 1 1
Direct
0.6254 0.1239 0.6254
0.6254 0.6254 0.1239
0.6254 0.6254 0.6254
0.1239 0.6254 0.6254
0.0000 0.0000 0.0000
0.2500 0.2500 0.2500

=====

[2]
CeScFe2 PBE-GGA relaxed; SG = P4/mmm (123); formation energy = 0.012 eV/atom; electronic total energy = -29.14 eV per cell; magnetic moment = 0.00 μB/f.u.
1.0
3.2138 0.0000 0.0000
0.0000 4.5572 0.0000
0.0000 0.0000 4.5572
Sc Fe Ce
1 2 1
Direct
0.5000 0.5000 0.5000
0.0000 0.5000 0.0000
0.0000 0.0000 0.5000
0.5000 0.0000 0.0000

=====

[3]
CeSc2Fe PBE-GGA relaxed; excess energy over the best structure of this formula in the dataset = 0.071 eV per atom; SG = P4/mmm (123); formation energy = -0.033 eV/atom; electronic total energy = -27.19 eV per cell; magnetic moment = 0.98 μB/f.u.
1.0
3.1374 0.0000 0.0000
0.0000 3.1374 0.0000
0.0000 0.0000 8.5708
Sc Ce Fe
2 1 1
Direct
0.0000 0.0000 0.8260
0.0000 0.0000 0.1740
0.5000 0.5000 0.5000
0.5000 0.5000 0.0000

=====

[4]
CeSc3Fe PBE-GGA relaxed; SG = Pm-3m (221); formation energy = 0.048 eV/atom; electronic total energy = -33.15 eV per cell; magnetic moment = 0.92 μB/f.u.
1.0
-3.5098 -2.5706 2.3106
3.3018 -3.4675 1.1578
1.0223 2.3736 4.1936
Sc Fe Ce
3 1 1
Direct
0.0000 0.0000 0.5000
0.0000 0.5000 0.0000
0.5000 0.0000 0.0000
0.0000 0.0000 0.0000
0.5000 0.5000 0.5000